Compound: Nd6Dy2Ho3Tm
Source: Alexandria via LeMat-Bulk
Functional: PBE-GGA
Structure: relaxed

Unit cell a=6.258 b=6.258 c=11.817 alpha=95.05 beta=95.05 gamma=119.99
Fractional coordinates of all 12 atoms:
Nd: 0.751 0.751 0.250
Ho: 0.500 0.500 0.500
Nd: 0.916 0.583 0.750
Dy: 0.667 0.333 0.000
Ho: 0.833 0.167 0.500
Dy: 0.333 0.667 0.000
Tm: 0.000 0.000 0.000
Nd: 0.249 0.249 0.750
Nd: 0.084 0.417 0.250
Nd: 0.583 0.916 0.750
Nd: 0.417 0.084 0.250
Ho: 0.167 0.833 0.500

E_tot, eV per atom: -4.656
Symmetry: C2/m, No. 12
Formation enthalpy at 0 K, eV/atom: 0.0121